# 1
First-principles (GGA-PBE) data for crystalline MgSn6Pd at its relaxed geometry, as listed in the Alexandria database.

## Properties
- total magnetic moment (μB/cell) = 0.0
- space group = No. 12
- DOS at the Fermi energy (states/eV/f.u.) = 4.0
- formation energy (eV per atom) = -0.088

abc: 6.464 6.464 6.007
angles: 100.29 100.29 118.39
Fractional positions:
Mg: 0.000 0.000 0.000
Sn: 0.158 0.710 0.235
Sn: 0.290 0.842 0.765
Sn: 0.434 0.434 0.723
Sn: 0.566 0.566 0.277
Sn: 0.710 0.158 0.235
Sn: 0.842 0.290 0.765
Pd: 0.000 0.000 0.500

=====

# 2
First-principles (GGA-PBE) data for crystalline Mg6SnPd5 at its relaxed geometry, as listed in the Alexandria database.

## Properties
- total magnetic moment (μB/cell) = 0.0
- space group = No. 71
- DOS at the Fermi energy (states/eV/f.u.) = 3.1
- formation energy (eV per atom) = -0.630

abc: 7.886 7.886 7.886
angles: 146.93 129.06 62.09
Fractional positions:
Mg: 0.061 0.326 0.735
Mg: 0.222 0.000 0.222
Mg: 0.408 0.674 0.735
Mg: 0.592 0.326 0.265
Mg: 0.778 0.000 0.778
Mg: 0.939 0.674 0.265
Sn: 0.500 0.500 0.000
Pd: 0.000 0.500 0.500
Pd: 0.169 0.169 0.000
Pd: 0.342 0.842 0.500
Pd: 0.658 0.158 0.500
Pd: 0.831 0.831 0.000

=====

# 3
First-principles (GGA-PBE) data for crystalline MgSn2Pd5 at its relaxed geometry, as listed in the Alexandria database.

## Properties
- total magnetic moment (μB/cell) = 0.0
- polymorph energy (0 for the lowest one) (eV per formula unit) = 1.94
- space group = No. 63
- DOS at the Fermi energy (states/eV/f.u.) = 4.0
- formation energy (eV per atom) = -0.244

abc: 7.889 7.889 13.927
angles: 90.00 90.00 158.39
Fractional positions:
Mg: 0.133 0.867 0.750
Mg: 0.867 0.133 0.250
Sn: 0.125 0.875 0.084
Sn: 0.125 0.875 0.416
Sn: 0.875 0.125 0.584
Sn: 0.875 0.125 0.916
Pd: 0.045 0.955 0.591
Pd: 0.045 0.955 0.909
Pd: 0.218 0.782 0.250
Pd: 0.225 0.775 0.585
Pd: 0.225 0.775 0.915
Pd: 0.775 0.225 0.085
Pd: 0.775 0.225 0.415
Pd: 0.782 0.218 0.750
Pd: 0.955 0.045 0.091
Pd: 0.955 0.045 0.409

=====

# 4
First-principles (GGA-PBE) data for crystalline Mg5SnPd4 at its relaxed geometry, as listed in the Alexandria database.

## Properties
- total magnetic moment (μB/cell) = 0.0
- space group = No. 123
- DOS at the Fermi energy (states/eV/f.u.) = 4.3
- formation energy (eV per atom) = -0.620

abc: 3.197 3.197 17.262
angles: 90.00 90.00 90.00
Fractional positions:
Mg: 0.000 0.000 0.000
Mg: 0.000 0.000 0.184
Mg: 0.000 0.000 0.368
Mg: 0.000 0.000 0.632
Mg: 0.000 0.000 0.816
Sn: 0.500 0.500 0.500
Pd: 0.500 0.500 0.091
Pd: 0.500 0.500 0.277
Pd: 0.500 0.500 0.723
Pd: 0.500 0.500 0.909

=====

# 5
First-principles (GGA-PBE) data for crystalline MgSn2Pd3 at its relaxed geometry, as listed in the Alexandria database.

## Properties
- total magnetic moment (μB/cell) = 0.0
- polymorph energy (0 for the lowest one) (eV per formula unit) = 0.21
- space group = No. 123
- DOS at the Fermi energy (states/eV/f.u.) = 2.6
- formation energy (eV per atom) = -0.516

abc: 3.373 3.373 9.490
angles: 90.00 90.00 90.00
Fractional positions:
Mg: 0.000 0.000 0.000
Sn: 0.000 0.000 0.325
Sn: 0.000 0.000 0.675
Pd: 0.500 0.500 0.160
Pd: 0.500 0.500 0.500
Pd: 0.500 0.500 0.840

=====

# 6
First-principles (GGA-PBE) data for crystalline Mg2Sn2Pd at its relaxed geometry, as listed in the Alexandria database.

## Properties
- total magnetic moment (μB/cell) = 0.0
- polymorph energy (0 for the lowest one) (eV per formula unit) = 0.00
- space group = No. 2
- DOS at the Fermi energy (states/eV/f.u.) = 1.8
- formation energy (eV per atom) = -0.349

abc: 4.016 5.419 11.165
angles: 90.99 99.48 111.40
Fractional positions:
Mg: 0.027 0.223 0.355
Mg: 0.339 0.358 0.808
Mg: 0.661 0.642 0.192
Mg: 0.973 0.777 0.645
Sn: 0.117 0.771 0.956
Sn: 0.337 0.791 0.400
Sn: 0.663 0.209 0.600
Sn: 0.883 0.229 0.044
Pd: 0.369 0.061 0.190
Pd: 0.631 0.939 0.810

=====

# 7
First-principles (GGA-PBE) data for crystalline MgSnPd at its relaxed geometry, as listed in the Alexandria database.

## Properties
- total magnetic moment (μB/cell) = 0.0
- space group = No. 107
- DOS at the Fermi energy (states/eV/f.u.) = 1.0
- formation energy (eV per atom) = -0.464

abc: 5.103 5.103 5.103
angles: 138.78 138.78 59.71
Fractional positions:
Mg: 0.000 0.000 0.000
Sn: 0.318 0.318 0.000
Pd: 0.659 0.659 0.000

=====

# 8
First-principles (GGA-PBE) data for crystalline MgSn3Pd4 at its relaxed geometry, as listed in the Alexandria database.

## Properties
- total magnetic moment (μB/cell) = 0.0
- space group = No. 12
- DOS at the Fermi energy (states/eV/f.u.) = 2.3
- formation energy (eV per atom) = -0.529

abc: 7.448 7.448 4.652
angles: 108.12 108.12 36.39
Fractional positions:
Mg: 0.000 0.000 0.000
Sn: 0.247 0.247 0.247
Sn: 0.500 0.500 0.500
Sn: 0.753 0.753 0.753
Pd: 0.118 0.118 0.617
Pd: 0.382 0.382 0.883
Pd: 0.618 0.618 0.117
Pd: 0.882 0.882 0.383